Below is a relaxed LiPm8Sm5 crystal, with properties calculated at the GGA-PBE level.

abc: 9.697 9.697 10.206
angles: 90.00 90.00 90.00
Space group I-4 (No. 82)
Symmetry-distinct sites (fractional):
Li: 0.000 0.000 0.000 (multiplicity 2)
Pm: 0.069 0.173 0.347 (multiplicity 8)
Pm: 0.082 0.307 0.006 (multiplicity 8)
Sm: 0.000 0.500 0.250 (multiplicity 2)
Sm: 0.101 0.293 0.673 (multiplicity 8)

Properties
raw total energy = -60.37 eV per formula unit
energy relative to the elements = 0.2246 eV/atom
crystal system = tetragonal

Below is a relaxed PIr3Pb crystal, with properties calculated at the GGA-PBE level.

abc: 4.974 4.974 4.974
angles: 90.00 90.00 90.00
Space group Pm-3m (No. 221)
Symmetry-distinct sites (fractional):
P: 0.000 0.000 0.000 (multiplicity 1)
Ir: 0.000 0.500 0.500 (multiplicity 3)
Pb: 0.500 0.500 0.500 (multiplicity 1)

Properties
offset from the most stable computed form = 2075 meV per atom
raw total energy = -23.02 eV per formula unit
energy relative to the elements = 2.5371 eV/atom
crystal system = cubic

Below is a relaxed Sc2OsPb crystal, with properties calculated at the GGA-PBE level.

abc: 8.480 3.287 6.229
angles: 90.00 99.71 90.00
Space group C2/m (No. 12)
Symmetry-distinct sites (fractional):
Sc: 0.241 0.000 0.212 (multiplicity 4)
Os: 0.000 0.500 0.000 (multiplicity 2)
Pb: 0.000 0.000 0.500 (multiplicity 2)

Properties
raw total energy = -27.85 eV per formula unit
energy relative to the elements = -0.0621 eV/atom
crystal system = monoclinic

Below is a relaxed Tl3AgBr6 crystal, with properties calculated at the GGA-PBE level.

abc: 11.816 16.008 7.609
angles: 90.00 90.00 90.00
Space group Cmc2_1 (No. 36)
Symmetry-distinct sites (fractional):
Tl: 0.000 0.113 0.000 (multiplicity 4)
Tl: 0.201 0.380 0.037 (multiplicity 8)
Ag: 0.000 0.332 0.601 (multiplicity 4)
Br: 0.000 0.307 0.259 (multiplicity 4)
Br: 0.000 0.454 0.844 (multiplicity 4)
Br: 0.181 0.249 0.757 (multiplicity 8)
Br: 0.183 0.007 0.262 (multiplicity 8)

Properties
offset from the most stable computed form = 69 meV per atom
energy relative to the elements, uncorrected = -5.4 eV per formula unit
raw total energy = -25.37 eV per formula unit
crystal system = orthorhombic

Below is a relaxed NaTlGe crystal, with properties calculated at the GGA-PBE level.

abc: 6.161 3.705 7.822
angles: 90.00 112.93 90.00
Space group Pm (No. 6)
Symmetry-distinct sites (fractional):
Na: 0.000 0.000 0.000 (multiplicity 1)
Na: 0.238 0.000 0.480 (multiplicity 1)
Tl: 0.428 0.500 0.875 (multiplicity 1)
Tl: 0.794 0.500 0.606 (multiplicity 1)
Ge: 0.541 0.000 0.240 (multiplicity 1)
Ge: 0.830 0.500 0.240 (multiplicity 1)

Properties
raw total energy = -8.31 eV per formula unit
energy relative to the elements = -0.0041 eV/atom
crystal system = monoclinic

Below is a relaxed Be3CrCd crystal, with properties calculated at the GGA-PBE level.

abc: 4.178 4.178 4.178
angles: 90.00 90.00 90.00
Space group Pm-3m (No. 221)
Symmetry-distinct sites (fractional):
Be: 0.000 0.000 0.500 (multiplicity 3)
Cr: 0.000 0.000 0.000 (multiplicity 1)
Cd: 0.500 0.500 0.500 (multiplicity 1)

Properties
offset from the most stable computed form = 0 meV per atom
raw total energy = -15.90 eV per formula unit
energy relative to the elements = 1.1628 eV/atom
crystal system = cubic

Below is a relaxed K2Zn3CdAu4 crystal, with properties calculated at the GGA-PBE level.

abc: 4.736 4.736 10.543
angles: 90.00 90.00 90.00
Space group P-4m2 (No. 115)
Symmetry-distinct sites (fractional):
K: 0.000 0.500 0.243 (multiplicity 2)
Zn: 0.000 0.500 0.885 (multiplicity 2)
Zn: 0.500 0.500 0.500 (multiplicity 1)
Cd: 0.000 0.000 0.500 (multiplicity 1)
Au: 0.000 0.000 0.000 (multiplicity 1)
Au: 0.000 0.500 0.639 (multiplicity 2)
Au: 0.500 0.500 0.000 (multiplicity 1)

Properties
raw total energy = -22.40 eV per formula unit
energy relative to the elements = -0.2356 eV/atom
crystal system = tetragonal

Below is a relaxed GaNiSn2Sb crystal, with properties calculated at the GGA-PBE level.

abc: 5.041 5.041 4.663
angles: 90.00 90.00 90.00
Space group P4/mmm (No. 123)
Symmetry-distinct sites (fractional):
Ga: 0.000 0.000 0.000 (multiplicity 1)
Ni: 0.000 0.000 0.500 (multiplicity 1)
Sn: 0.000 0.500 0.500 (multiplicity 2)
Sb: 0.500 0.500 0.000 (multiplicity 1)

Properties
energy relative to the elements, uncorrected = -0.1 eV per formula unit
raw total energy = -21.01 eV per formula unit
crystal system = tetragonal

Below is a relaxed Re6Os crystal, with properties calculated at the GGA-PBE level.

abc: 9.503 4.463 5.070
angles: 90.00 98.14 90.00
Space group C2/m (No. 12)
Symmetry-distinct sites (fractional):
Re: 0.066 0.000 0.307 (multiplicity 4)
Re: 0.150 0.500 0.551 (multiplicity 4)
Re: 0.202 0.000 0.894 (multiplicity 4)
Os: 0.000 0.500 0.000 (multiplicity 2)

Properties
offset from the most stable computed form = 55 meV per atom
raw total energy = -83.59 eV per formula unit
energy relative to the elements = 0.3323 eV/atom
crystal system = monoclinic

Below is a relaxed Dy2U2PaRu5 crystal, with properties calculated at the GGA-PBE level.

abc: 10.482 10.482 3.625
angles: 90.00 90.00 90.00
Space group P4/mbm (No. 127)
Symmetry-distinct sites (fractional):
Dy: 0.176 0.324 0.000 (multiplicity 4)
U: 0.133 0.633 0.000 (multiplicity 4)
Pa: 0.000 0.000 0.000 (multiplicity 2)
Ru: 0.000 0.500 0.500 (multiplicity 2)
Ru: 0.051 0.800 0.500 (multiplicity 8)

Properties
raw total energy = -91.02 eV per formula unit
energy relative to the elements = -0.3368 eV/atom
crystal system = tetragonal

Below is a relaxed ThZnCoNi crystal, with properties calculated at the GGA-PBE level.

abc: 6.473 6.473 6.473
angles: 90.00 90.00 90.00
Space group F-43m (No. 216)
Symmetry-distinct sites (fractional):
Th: 0.000 0.000 0.000 (multiplicity 4)
Zn: 0.000 0.000 0.500 (multiplicity 4)
Co: 0.250 0.250 0.250 (multiplicity 4)
Ni: 0.250 0.250 0.750 (multiplicity 4)

Properties
offset from the most stable computed form = 176 meV per atom
raw total energy = -22.22 eV per formula unit
energy relative to the elements = -0.1595 eV/atom
crystal system = cubic

Below is a relaxed LaSc2Zn2 crystal, with properties calculated at the GGA-PBE level.

abc: 4.472 4.472 12.286
angles: 90.00 90.00 90.00
Space group I4/mmm (No. 139)
Symmetry-distinct sites (fractional):
La: 0.000 0.000 0.000 (multiplicity 2)
Sc: 0.000 0.000 0.375 (multiplicity 4)
Zn: 0.000 0.500 0.250 (multiplicity 4)

Properties
offset from the most stable computed form = 185 meV per atom
raw total energy = -20.19 eV per formula unit
energy relative to the elements = -0.0102 eV/atom
crystal system = tetragonal

Below is a relaxed La5Sb4Br crystal, with properties calculated at the GGA-PBE level.

abc: 4.604 6.475 22.862
angles: 90.00 90.00 90.00
Space group Immm (No. 71)
Symmetry-distinct sites (fractional):
La: 0.000 0.000 0.000 (multiplicity 2)
La: 0.000 0.000 0.200 (multiplicity 4)
La: 0.000 0.000 0.396 (multiplicity 4)
Sb: 0.000 0.500 0.199 (multiplicity 4)
Sb: 0.000 0.500 0.402 (multiplicity 4)
Br: 0.000 0.500 0.000 (multiplicity 2)

Properties
energy relative to the elements, uncorrected = -13.2 eV per formula unit
raw total energy = -56.03 eV per formula unit
crystal system = orthorhombic

Below is a relaxed TmScTc crystal, with properties calculated at the GGA-PBE level.

abc: 8.310 4.941 6.435
angles: 90.00 90.00 90.00
Space group Pnma (No. 62)
Symmetry-distinct sites (fractional):
Tm: 0.049 0.250 0.177 (multiplicity 4)
Sc: 0.186 0.250 0.636 (multiplicity 4)
Tc: 0.126 0.750 0.444 (multiplicity 4)

Properties
offset from the most stable computed form = 102 meV per atom
raw total energy = -21.32 eV per formula unit
energy relative to the elements = -0.0495 eV/atom
crystal system = orthorhombic

Below is a relaxed Co4H3 crystal, with properties calculated at the GGA-PBE level.

abc: 9.499 2.599 4.510
angles: 90.00 118.26 90.00
Space group C2/m (No. 12)
Symmetry-distinct sites (fractional):
Co: 0.121 0.000 0.459 (multiplicity 4)
Co: 0.124 0.500 0.954 (multiplicity 4)
H: 0.000 0.000 0.000 (multiplicity 2)
H: 0.239 0.500 0.738 (multiplicity 4)

Properties
raw total energy = -38.43 eV per formula unit
crystal system = monoclinic

Below is a relaxed Li2Mg2P crystal, with properties calculated at the GGA-PBE level.

abc: 6.715 6.715 4.655
angles: 90.00 90.00 90.00
Space group P4/mbm (No. 127)
Symmetry-distinct sites (fractional):
Li: 0.159 0.341 0.000 (multiplicity 4)
Mg: 0.149 0.649 0.500 (multiplicity 4)
P: 0.000 0.000 0.500 (multiplicity 2)

Properties
offset from the most stable computed form = 64 meV per atom
raw total energy = -13.06 eV per formula unit
energy relative to the elements = -0.1264 eV/atom
crystal system = tetragonal

Below is a relaxed Tm5Te5S2 crystal, with properties calculated at the GGA-PBE level.

abc: 13.849 4.124 12.322
angles: 90.00 105.65 90.00
Space group C2/m (No. 12)
Symmetry-distinct sites (fractional):
Tm: 0.000 0.000 0.000 (multiplicity 2)
Tm: 0.105 0.000 0.398 (multiplicity 4)
Tm: 0.175 0.500 0.802 (multiplicity 4)
Te: 0.000 0.500 0.500 (multiplicity 2)
Te: 0.165 0.500 0.054 (multiplicity 4)
Te: 0.248 0.000 0.643 (multiplicity 4)
S: 0.040 0.000 0.794 (multiplicity 4)

Properties
energy relative to the elements, uncorrected = -18.0 eV per formula unit
raw total energy = -64.33 eV per formula unit
crystal system = monoclinic

Below is a relaxed K2TaTlSi crystal, with properties calculated at the GGA-PBE level.

abc: 6.314 6.314 4.909
angles: 90.00 90.00 90.00
Space group P4/mmm (No. 123)
Symmetry-distinct sites (fractional):
K: 0.000 0.500 0.000 (multiplicity 2)
Ta: 0.000 0.000 0.500 (multiplicity 1)
Tl: 0.500 0.500 0.500 (multiplicity 1)
Si: 0.000 0.000 0.000 (multiplicity 1)

Properties
energy relative to the elements, uncorrected = 4.4 eV per formula unit
raw total energy = -17.39 eV per formula unit
crystal system = tetragonal

Below is a relaxed Ta4Fe7Ge6 crystal, with properties calculated at the GGA-PBE level.

abc: 7.723 7.723 7.723
angles: 90.00 90.00 90.00
Space group Im-3m (No. 229)
Symmetry-distinct sites (fractional):
Ta: 0.250 0.250 0.250 (multiplicity 8)
Fe: 0.000 0.000 0.000 (multiplicity 2)
Fe: 0.000 0.250 0.500 (multiplicity 12)
Ge: 0.000 0.000 0.312 (multiplicity 12)

Properties
raw total energy = -138.27 eV per formula unit
energy relative to the elements = -0.2306 eV/atom
crystal system = cubic

Below is a relaxed Li3AlZn7 crystal, with properties calculated at the GGA-PBE level.

abc: 9.242 8.996 4.868
angles: 90.00 113.54 90.00
Space group C2/m (No. 12)
Symmetry-distinct sites (fractional):
Li: 0.000 0.000 0.000 (multiplicity 2)
Li: 0.000 0.202 0.500 (multiplicity 4)
Al: 0.000 0.500 0.000 (multiplicity 2)
Zn: 0.000 0.500 0.500 (multiplicity 2)
Zn: 0.174 0.244 0.175 (multiplicity 8)
Zn: 0.225 0.000 0.533 (multiplicity 4)

Properties
raw total energy = -18.37 eV per formula unit
energy relative to the elements = 0.0029 eV/atom
crystal system = monoclinic

Below is a relaxed CsLi2PuBr8 crystal, with properties calculated at the GGA-PBE level.

abc: 6.897 6.948 10.163
angles: 84.68 84.34 71.71
Space group P-1 (No. 2)
Symmetry-distinct sites (fractional):
Cs: 0.000 0.000 0.000 (multiplicity 1)
Li: 0.495 0.497 0.157 (multiplicity 2)
Pu: 0.000 0.000 0.500 (multiplicity 1)
Br: 0.212 0.732 0.690 (multiplicity 2)
Br: 0.228 0.238 0.517 (multiplicity 2)
Br: 0.275 0.799 0.307 (multiplicity 2)
Br: 0.329 0.331 0.018 (multiplicity 2)

Properties
energy relative to the elements, uncorrected = -15.5 eV per formula unit
raw total energy = -47.93 eV per formula unit
crystal system = triclinic

Below is a relaxed LiLaCo2I crystal, with properties calculated at the GGA-PBE level.

abc: 4.738 4.738 5.879
angles: 90.00 90.00 90.00
Space group P4/mmm (No. 123)
Symmetry-distinct sites (fractional):
Li: 0.000 0.000 0.000 (multiplicity 1)
La: 0.500 0.500 0.000 (multiplicity 1)
Co: 0.000 0.500 0.500 (multiplicity 2)
I: 0.500 0.500 0.500 (multiplicity 1)

Properties
energy relative to the elements, uncorrected = 4.2 eV per formula unit
raw total energy = -18.37 eV per formula unit
crystal system = tetragonal

Below is a relaxed BaBH2F crystal, with properties calculated at the GGA-PBE level.

abc: 3.775 3.775 4.280
angles: 90.00 90.00 90.00
Space group P4/mmm (No. 123)
Symmetry-distinct sites (fractional):
Ba: 0.000 0.000 0.000 (multiplicity 1)
B: 0.500 0.500 0.500 (multiplicity 1)
H: 0.000 0.500 0.500 (multiplicity 2)
F: 0.500 0.500 0.000 (multiplicity 1)

Properties
raw total energy = -19.10 eV per formula unit
crystal system = tetragonal